No. 1
Ag3MoW PBE relaxed; calculated volume = 25.43 A^3/atom; energy of formation from the pure elements = 2.238 eV/atom
1.0
5.029 0.000 0.000
0.000 5.029 0.000
0.000 0.000 5.029
Ag Mo W
3 1 1
Cartesian
0.000 0.000 2.514
0.000 2.514 0.000
2.514 0.000 0.000
2.514 2.514 2.514
0.000 0.000 0.000


No. 2
AgMoW2 PBE relaxed; calculated volume = 16.13 A^3/atom; energy of formation from the pure elements = 0.488 eV/atom
1.0
3.997 0.000 0.000
0.000 3.997 0.000
0.000 0.000 4.039
Ag Mo W
1 1 2
Cartesian
0.000 0.000 0.000
1.998 1.998 0.000
0.000 1.998 2.019
1.998 0.000 2.019


No. 3
AgMoW2 PBE relaxed; calculated volume = 16.42 A^3/atom; energy of formation from the pure elements = 0.325 eV/atom
1.0
1.604 -2.210 0.000
1.604 2.210 0.000
0.000 0.000 9.268
Ag Mo W
1 1 2
Cartesian
0.000 0.000 0.000
0.000 0.000 4.634
1.604 0.000 2.415
1.604 0.000 6.853


No. 4
AgMoW2 PBE relaxed; calculated volume = 16.32 A^3/atom; energy of formation from the pure elements = 0.456 eV/atom
1.0
2.797 -4.654 0.000
2.797 4.654 0.000
-0.969 0.000 2.507
Ag Mo W
1 1 2
Cartesian
0.000 0.000 0.000
2.797 0.000 0.000
0.914 2.327 1.254
0.914 -2.327 1.254


No. 5
AgMo4W PBE relaxed; calculated volume = 16.68 A^3/atom; energy of formation from the pure elements = 0.451 eV/atom
1.0
0.000 3.685 3.685
3.685 0.000 3.685
3.685 3.685 0.000
Ag Mo W
1 4 1
Cartesian
0.000 0.000 0.000
2.759 2.759 2.759
4.610 4.610 2.759
4.610 2.759 4.610
2.759 4.610 4.610
5.527 5.527 5.527


No. 6
AgMoW2 PBE relaxed; calculated volume = 16.28 A^3/atom; energy of formation from the pure elements = 0.564 eV/atom
1.0
-2.065 2.065 3.817
2.065 -2.065 3.817
2.065 2.065 -3.817
Ag Mo W
1 1 2
Cartesian
0.000 0.000 0.000
2.065 0.000 1.908
0.000 0.000 3.817
0.000 2.065 1.908


No. 7
AgMoW2 PBE relaxed; calculated volume = 16.40 A^3/atom; energy of formation from the pure elements = 0.530 eV/atom
1.0
4.732 -1.335 0.000
4.732 1.335 0.000
-0.571 0.000 5.192
Ag Mo W
1 1 2
Cartesian
0.000 0.000 0.000
1.946 0.000 3.907
4.440 0.000 2.600
6.946 0.000 1.298


No. 8
AgMoW4 PBE relaxed; calculated volume = 17.15 A^3/atom; energy of formation from the pure elements = 0.536 eV/atom
1.0
0.000 3.719 3.719
3.719 0.000 3.719
3.719 3.719 0.000
Ag Mo W
1 1 4
Cartesian
0.000 0.000 0.000
1.860 1.860 1.860
4.652 2.787 2.787
2.787 4.652 2.787
2.787 2.787 4.652
4.652 4.652 4.652


No. 9
AgMoW2 PBE relaxed; calculated volume = 16.43 A^3/atom; energy of formation from the pure elements = 0.530 eV/atom
1.0
2.658 0.000 0.000
0.000 4.384 0.000
0.000 0.000 5.639
Ag Mo W
1 1 2
Cartesian
0.000 0.000 0.000
0.000 0.000 2.820
1.329 2.192 1.442
1.329 2.192 4.197


No. 10
AgMoW2 PBE relaxed; calculated volume = 16.45 A^3/atom; energy of formation from the pure elements = 0.436 eV/atom
1.0
2.690 0.000 0.000
0.000 4.515 0.000
-1.153 0.000 5.418
Ag Mo W
1 1 2
Cartesian
0.000 0.000 0.000
1.625 2.258 1.401
-0.234 2.258 3.964
0.720 0.000 2.704


No. 11
Y2AgMo PBE relaxed; calculated volume = 24.26 A^3/atom; energy of formation from the pure elements = 0.799 eV/atom
1.0
-2.223 2.223 9.818
2.223 -2.223 9.818
2.223 2.223 -9.818
Y Ag Mo
4 2 2
Cartesian
3.335 1.076 -2.455
1.076 1.112 2.455
-1.112 1.147 7.364
1.147 1.112 12.273
2.223 0.000 4.909
0.000 0.000 9.818
0.000 0.000 0.000
0.000 2.223 4.909


No. 12
YAgMo3 PBE relaxed; calculated volume = 23.21 A^3/atom; energy of formation from the pure elements = 1.942 eV/atom
1.0
4.878 0.000 0.000
0.000 4.878 0.000
0.000 0.000 4.878
Y Ag Mo
1 1 3
Cartesian
0.000 0.000 0.000
2.439 2.439 2.439
0.000 2.439 2.439
2.439 0.000 2.439
2.439 2.439 0.000


No. 13
Y2AgMo PBE relaxed; calculated volume = 23.36 A^3/atom; energy of formation from the pure elements = 0.351 eV/atom
1.0
3.202 0.000 0.000
0.000 4.736 0.000
0.000 0.000 6.162
Y Ag Mo
2 1 1
Cartesian
0.000 0.000 0.000
1.601 2.368 2.131
0.000 0.000 3.265
1.601 2.368 5.190


No. 14
Y2AgMo PBE relaxed; calculated volume = 23.09 A^3/atom; energy of formation from the pure elements = 0.206 eV/atom
1.0
5.532 -1.624 0.000
5.532 1.624 0.000
-1.441 0.000 5.140
Y Ag Mo
2 1 1
Cartesian
0.000 0.000 0.000
1.362 0.000 3.215
8.131 0.000 0.832
4.364 0.000 2.504


No. 15
Y2AgMo PBE relaxed; calculated volume = 23.36 A^3/atom; energy of formation from the pure elements = 0.378 eV/atom
1.0
3.201 0.000 0.000
0.000 3.201 0.000
0.000 0.000 9.124
Y Ag Mo
2 1 1
Cartesian
0.000 0.000 0.000
1.600 1.600 3.057
0.000 0.000 5.231
1.600 1.600 7.004


Record order is preserved below.
Spin magnetization: 0.8111 0.0000 0.0000 0.0000 0.0000 0.0000 0.0000 0.0000 0.0000 0.0000 0.0000 0.0000 0.0000 0.0001 0.0000 μB per atom